This record from Alexandria describes a relaxed TaFe2Ni crystal. The functional is PBE.

Values from the calculation:
As for the density of states at the Fermi level: 0.79 states/eV per atom. Its size of the total moment is 15.64 Bohr magnetons per cell. For the total energy, the calculation gives -8.279 eV per atom.

Structure (CIF):
```
data_TaFe2Ni
_cell_length_a 3.529
_cell_length_b 3.529
_cell_length_c 17.796
_cell_angle_alpha 90.00
_cell_angle_beta 90.00
_cell_angle_gamma 90.00
_space_group_name_H-M_alt 'I -4 2 d'
_space_group_IT_number 122
_space_group_name_Hall 'I -4 2bw'
loop_
_atom_site_label
_atom_site_fract_x
_atom_site_fract_y
_atom_site_fract_z
_atom_site_occupancy
Ta1 0.000 0.000 0.000 1
Fe1 0.241 0.250 0.625 1
Ni1 0.000 0.000 0.500 1
```